# 1
{
  "formula": "SrZr2In",
  "functional": "PBE",
  "state": "optimized geometry",
  "m_tot_mub_per_fu": 0.0,
  "ef_ev_per_atom": 0.28,
  "density_g_cm3": 6.0,
  "lattice": [[1.6610, 0.9590, 11.1755], [-1.6610, 0.9590, 11.1755], [0.0000, -1.9180, 11.1755]],
  "species": ["Sr", "Zr", "Zr", "In"],
  "fractional_positions": [[0.0000, 0.0000, 0.0000], [0.2421, 0.2421, 0.2421], [0.7579, 0.7579, 0.7579], [0.5000, 0.5000, 0.5000]]
}


# 2
{
  "formula": "Ac3PrSm3Se8",
  "functional": "PBE",
  "state": "optimized geometry",
  "m_tot_mub_per_fu": 0.0,
  "e_form_raw_ev_per_fu": -28.168,
  "density_g_cm3": 7.0,
  "lattice": [[4.2616, 2.4604, 7.1604], [-4.2616, 2.4604, 7.1604], [0.0000, -4.9208, 7.1604]],
  "species": ["Ac", "Ac", "Ac", "Pr", "Sm", "Sm", "Sm", "Se", "Se", "Se", "Se", "Se", "Se", "Se", "Se"],
  "fractional_positions": [[0.0000, 0.5000, 0.5000], [0.5000, 0.0000, 0.5000], [0.5000, 0.5000, 0.0000], [0.5000, 0.5000, 0.5000], [0.0000, 0.0000, 0.5000], [0.0000, 0.5000, 0.0000], [0.5000, 0.0000, 0.0000], [0.2365, 0.7506, 0.7506], [0.2435, 0.2435, 0.2435], [0.2494, 0.2494, 0.7635], [0.2494, 0.7635, 0.2494], [0.7506, 0.2365, 0.7506], [0.7506, 0.7506, 0.2365], [0.7565, 0.7565, 0.7565], [0.7635, 0.2494, 0.2494]]
}


# 3
{
  "formula": "Cs2NdTiO4",
  "functional": "PBE",
  "state": "optimized geometry",
  "m_tot_mub_per_fu": 0.0,
  "e_form_raw_ev_per_fu": -17.722,
  "density_g_cm3": 3.3,
  "lattice": [[0.0000, 6.7993, 12.4255], [3.0699, 0.0000, 12.4255], [3.0699, 6.7993, 0.0000]],
  "species": ["Cs", "Cs", "Cs", "Cs", "Nd", "Nd", "Ti", "Ti", "O", "O", "O", "O", "O", "O", "O", "O"],
  "fractional_positions": [[0.0571, 0.0571, 0.6929], [0.3071, 0.3071, 0.9429], [0.6929, 0.6929, 0.0571], [0.9429, 0.9429, 0.3071], [0.1250, 0.1250, 0.1250], [0.8750, 0.8750, 0.8750], [0.3750, 0.3750, 0.3750], [0.6250, 0.6250, 0.6250], [0.0607, 0.6174, 0.5350], [0.2869, 0.5350, 0.6174], [0.3826, 0.9393, 0.7131], [0.4650, 0.7131, 0.9393], [0.5350, 0.2869, 0.0607], [0.6174, 0.0607, 0.2869], [0.7131, 0.4650, 0.3826], [0.9393, 0.3826, 0.4650]]
}


# 4
{
  "formula": "In2RePt",
  "functional": "PBE",
  "state": "optimized geometry",
  "m_tot_mub_per_fu": 0.8,
  "ef_ev_per_atom": 0.23,
  "de_polymorph_ev_per_atom": 0.075,
  "density_g_cm3": 14.2,
  "lattice": [[2.9828, 0.0000, 0.0000], [0.0000, 2.9828, 0.0000], [0.0000, 0.0000, 8.0209]],
  "species": ["In", "In", "Re", "Pt"],
  "fractional_positions": [[0.0000, 0.0000, 0.2491], [0.0000, 0.0000, 0.7509], [0.5000, 0.5000, 0.5000], [0.5000, 0.5000, 0.0000]]
}